This record from Alexandria via LeMat-Bulk describes crystalline MgZnCd at its relaxed geometry. The functional is PBE-GGA.

Properties
* N(E_F): 9.64 states/eV/cell
* density: 5.1 g/cm³
* ΔE_f: 0.021 eV/atom
* electronic total energy: -1.241 eV/atom
* distance to the lowest polymorph of the same formula: 66 meV per atom

abc: 6.428 6.428 6.428
angles: 90.00 90.00 90.00
Fractional coordinates of all 12 atoms:
Mg 0.000 0.000 0.000
Mg 0.000 0.500 0.500
Mg 0.500 0.000 0.500
Mg 0.500 0.500 0.000
Zn 0.250 0.250 0.250
Zn 0.250 0.750 0.750
Zn 0.750 0.250 0.750
Zn 0.750 0.750 0.250
Cd 0.000 0.000 0.500
Cd 0.000 0.500 0.000
Cd 0.500 0.000 0.000
Cd 0.500 0.500 0.500

***

This record from Alexandria via LeMat-Bulk describes crystalline Na2LiGa12Pt3 at its relaxed geometry. The functional is PBE-GGA.

Properties
* N(E_F): 7.25 states/eV/cell
* density: 5.8 g/cm³
* ΔE_f: -0.146 eV/atom
* electronic total energy: -3.424 eV/atom

abc: 7.799 7.799 7.799
angles: 72.42 72.42 72.42
Fractional coordinates of all 18 atoms:
Na 0.096 0.096 0.096
Na 0.904 0.904 0.904
Li 0.500 0.500 0.500
Ga 0.139 0.649 0.649
Ga 0.228 0.228 0.638
Ga 0.228 0.638 0.228
Ga 0.351 0.351 0.861
Ga 0.351 0.861 0.351
Ga 0.362 0.772 0.772
Ga 0.638 0.228 0.228
Ga 0.649 0.139 0.649
Ga 0.649 0.649 0.139
Ga 0.772 0.362 0.772
Ga 0.772 0.772 0.362
Ga 0.861 0.351 0.351
Pt 0.000 0.500 0.500
Pt 0.500 0.000 0.500
Pt 0.500 0.500 0.000

***

This record from Alexandria via LeMat-Bulk describes crystalline YMgTl at its relaxed geometry. The functional is PBE-GGA.

Properties
* N(E_F): 0.00 states/eV/cell
* density: 6.0 g/cm³
* ΔE_f: -0.167 eV/atom
* electronic total energy: -3.642 eV/atom

abc: 7.048 7.048 7.048
angles: 90.00 90.00 90.00
Fractional coordinates of all 12 atoms:
Y 0.000 0.000 0.000
Y 0.000 0.500 0.500
Y 0.500 0.000 0.500
Y 0.500 0.500 0.000
Mg 0.000 0.000 0.500
Mg 0.000 0.500 0.000
Mg 0.500 0.000 0.000
Mg 0.500 0.500 0.500
Tl 0.250 0.250 0.250
Tl 0.250 0.750 0.750
Tl 0.750 0.250 0.750
Tl 0.750 0.750 0.250

***

This record from Alexandria via LeMat-Bulk describes crystalline CsLaHf2 at its relaxed geometry. The functional is PBE-GGA.

Properties
* N(E_F): 24.21 states/eV/cell
* density: 8.7 g/cm³
* ΔE_f: 1.219 eV/atom
* electronic total energy: -5.203 eV/atom
* distance to the lowest polymorph of the same formula: 5 meV per atom

abc: 7.818 7.818 7.818
angles: 90.00 90.00 90.00
Fractional coordinates of all 16 atoms:
Cs 0.000 0.000 0.000
Cs 0.000 0.500 0.500
Cs 0.500 0.000 0.500
Cs 0.500 0.500 0.000
La 0.000 0.000 0.500
La 0.000 0.500 0.000
La 0.500 0.000 0.000
La 0.500 0.500 0.500
Hf 0.250 0.250 0.250
Hf 0.250 0.250 0.750
Hf 0.250 0.750 0.250
Hf 0.250 0.750 0.750
Hf 0.750 0.250 0.250
Hf 0.750 0.250 0.750
Hf 0.750 0.750 0.250
Hf 0.750 0.750 0.750